MgMn6O4F8: relaxed, PBE with a Hubbard U.

POSCAR file:
```
MgMn6O4F8
1.0
5.230 0.000 0.000
0.597 5.946 0.000
0.574 0.650 7.857
Mg Mn O F
1 6 4 8
direct
0.000 0.000 0.000
0.008 0.980 0.513
0.161 0.339 0.194
0.495 0.830 0.190
0.503 0.125 0.815
0.535 0.488 0.493
0.978 0.595 0.826
0.158 0.305 0.947
0.169 0.005 0.244
0.383 0.548 0.264
0.860 0.940 0.772
0.201 0.656 0.599
0.333 0.828 0.935
0.352 0.176 0.574
0.647 0.113 0.089
0.675 0.439 0.738
0.693 0.810 0.423
0.851 0.689 0.087
0.887 0.322 0.406
```

Summary:
The calculation puts the density of states at the Fermi level at 2.78 states/eV/f.u. For the energy above the most stable polymorph in this dataset, the calculation gives 5.7 meV/atom. Its space-group type is P1, No. 1. Its energy is -6.576 eV/atom.